# 1
A plane-wave DFT calculation with PBE-GGA was carried out for a geometry-optimized Tb2CuNi12P3 structure.

Properties
VASP energy ... -5.63 eV/atom
DFT formation energy ... -127.5 meV per atom
Crystal system ... trigonal
N(E_F) ... 45.14 states/eV/cell

abc: 8.4374 8.4374 11.7119
angles: 90.00 90.00 120.00
Space group R-3m (No. 166, hexagonal axes)
Asymmetric unit:
Tb  0.0000  0.0000  0.1609
Cu  0.0000  0.0000  0.5000
Ni  0.0084  0.5042  0.1833
Ni  0.0085  0.5043  0.3845
P  0.0000  0.5000  0.0000

# 2
A plane-wave DFT calculation with PBE-GGA was carried out for a geometry-optimized BaNa2VP structure.

Properties
VASP energy ... -3.69 eV/atom
DFT formation energy ... 124.9 meV per atom
Crystal system ... tetragonal
N(E_F) ... 3.27 states/eV/cell

abc: 5.594 5.594 4.776
angles: 90.00 90.00 90.00
Space group P4/mmm (No. 123)
Asymmetric unit:
Ba  0.000  0.000  0.000
Na  0.000  0.500  0.500
V  0.500  0.500  0.000
P  0.500  0.500  0.500

# 3
A plane-wave DFT calculation with PBE-GGA was carried out for a geometry-optimized KBaTeO4 structure.

Properties
VASP energy ... -5.28 eV/atom
Crystal system ... orthorhombic
N(E_F) ... 8.64 states/eV/cell
Uncorrected formation energy ... -11.0 eV per formula unit

abc: 6.996 7.705 10.234
angles: 90.00 90.00 90.00
Space group Imma (No. 74)
Asymmetric unit:
K  0.250  0.250  0.250
Ba  0.000  0.000  0.000
Te  0.000  0.250  0.629
O  0.000  0.041  0.735
O  0.228  0.250  0.516

# 4
A plane-wave DFT calculation with PBE-GGA was carried out for a geometry-optimized Li3Ga3Ru structure.

Properties
VASP energy ... -3.69 eV/atom
DFT formation energy ... -243.0 meV per atom
Crystal system ... hexagonal
N(E_F) ... 5.91 states/eV/cell

abc: 7.4030 7.4030 4.2661
angles: 90.00 90.00 120.00
Space group P6_3/m (No. 176)
Asymmetric unit:
Li  0.0458  0.8005  0.2500
Ga  0.0918  0.6193  0.7500
Ru  0.3333  0.6667  0.2500

# 5
A plane-wave DFT calculation with PBE-GGA was carried out for a geometry-optimized Mg2CoOs structure.

Properties
VASP energy ... -5.12 eV/atom
DFT formation energy ... 260.3 meV per atom
Crystal system ... orthorhombic
N(E_F) ... 2.76 states/eV/cell

abc: 3.240 4.261 4.281
angles: 90.00 90.00 90.00
Space group Pmmm (No. 47)
Asymmetric unit:
Mg  0.000  0.000  0.000
Mg  0.500  0.000  0.500
Co  0.000  0.500  0.500
Os  0.500  0.500  0.000

# 6
A plane-wave DFT calculation with PBE-GGA was carried out for a geometry-optimized CdCS2 structure.

Properties
VASP energy ... -3.50 eV/atom
Crystal system ... trigonal
N(E_F) ... 5.68 states/eV/cell
Uncorrected formation energy ... 4.4 eV per formula unit

abc: 2.9646 2.9646 26.0244
angles: 90.00 90.00 120.00
Space group R-3m (No. 166, hexagonal axes)
Asymmetric unit:
Cd  0.0000  0.0000  0.0000
C  0.0000  0.0000  0.5000
S  0.0000  0.0000  0.1194

# 7
A plane-wave DFT calculation with PBE-GGA was carried out for a geometry-optimized In3Tc5 structure.

Properties
VASP energy ... -7.08 eV/atom
DFT formation energy ... 427.0 meV per atom
Crystal system ... orthorhombic
N(E_F) ... 22.13 states/eV/cell

abc: 6.568 9.089 4.469
angles: 90.00 90.00 90.00
Space group Cmmm (No. 65)
Asymmetric unit:
In  0.000  0.000  0.000
In  0.000  0.246  0.500
Tc  0.000  0.500  0.000
Tc  0.233  0.500  0.500
Tc  0.250  0.250  0.000

# 8
A plane-wave DFT calculation with PBE-GGA was carried out for a geometry-optimized CaPt2 structure.

Properties
VASP energy ... -5.63 eV/atom
DFT formation energy ... -933.0 meV per atom
Crystal system ... hexagonal
N(E_F) ... 17.23 states/eV/cell

abc: 5.4562 5.4562 17.8069
angles: 90.00 90.00 120.00
Space group P6_3/mmc (No. 194)
Asymmetric unit:
Ca  0.0000  0.0000  0.0921
Ca  0.3333  0.6667  0.1561
Pt  0.0000  0.5000  0.0000
Pt  0.1650  0.3299  0.7500
Pt  0.3333  0.6667  0.6239